Record 1
Entry from Alexandria: crystalline U3MnTl4Te8 at its relaxed geometry (GGA-PBE).

Values from the calculation:
- total moment (μB per formula unit) = 13.0
- Fermi-level density of states (states/eV/f.u.) = 17.9
- formation energy from raw total energies (eV per atom) = -0.45

The structure in extended XYZ format:
```
16
Lattice="-4.6839 2.4972 -6.9778 -5.8686 -7.6070 1.2169 0.9320 5.4262 6.8242" Properties=species:S:1:pos:R:3 pbc="T T T"
Tl -2.3420 1.2486 -3.4889
Tl 0.0000 0.0000 0.0000
Tl -1.8760 3.9617 -0.0768
Tl 0.4660 2.7131 3.4121
U -5.2762 -2.5549 -2.8804
U -4.8102 0.1582 0.5317
U -2.4683 -1.0904 4.0205
Mn -2.9343 -3.8035 0.6085
Te -7.2338 -1.0196 -1.0169
Te -5.3081 -0.1832 -4.8784
Te -6.7515 1.8001 2.3081
Te -4.3124 0.4997 5.9418
Te -4.7982 -2.3254 2.3886
Te -4.8223 2.6419 -1.3253
Te -2.8690 -1.4836 -1.2448
Te -2.3867 1.3361 2.0803
```



Record 2
Entry from Alexandria: crystalline K3CoPd at its relaxed geometry (GGA-PBE).

Values from the calculation:
- total moment (μB per formula unit) = 1.9
- Fermi-level density of states (states/eV/f.u.) = 6.6
- electronic total energy (eV per atom) = -2.21

The structure in extended XYZ format:
```
5
Lattice="6.0168 0.0000 0.0000 0.0000 6.0168 0.0000 0.0000 0.0000 6.0168" Properties=species:S:1:pos:R:3 pbc="T T T"
K 0.0000 3.0084 0.0000
K 0.0000 0.0000 3.0084
K 3.0084 0.0000 0.0000
Co 0.0000 0.0000 0.0000
Pd 3.0084 3.0084 3.0084
```